A relaxed CePrTlAg crystal. Source: the Alexandria database, functional PBE.

abc: 3.7233 3.7233 8.1543
angles: 90.00 90.00 90.00
Site moments in Bohr magnetons follow the coordinates.
Atoms (fractional coordinates):
Ce 0.0000 0.0000 0.3694  1.02
Pr 0.0000 0.0000 0.8433  0.14
Tl 0.5000 0.5000 0.1086  0.00
Ag 0.5000 0.5000 0.6066  0.02

## Properties
E above lowest polymorph = 0 meV per atom
uncorrected energy = -16.803 eV per cell
symmetry = P4mm (99)
magnetization = 1.64 μB per formula unit
E_form = -218.0 meV per atom
DOS at the Fermi energy = 9.47 states/eV/f.u.
V = 28.260 A^3/atom

***

A relaxed ErAgPb crystal. Source: the Alexandria database, functional PBE.

abc: 4.8561 4.8564 7.6742
angles: 90.00 90.00 60.00
Atoms (fractional coordinates):
Pb 0.6667 0.6667 0.0882
Pb 0.3333 0.3333 0.9118
Ag 0.3333 0.3333 0.5012
Ag 0.6667 0.6667 0.4988
Er 0.0001 0.0000 0.7096
Er 0.9999 0.0000 0.2904

## Properties
uncorrected energy = -23.218 eV per cell
symmetry = P-3m1 (164)
magnetization = 0.00 μB per formula unit
E_form = -162.2 meV per atom
DOS at the Fermi energy = 2.07 states/eV/f.u.
V = 26.122 A^3/atom

***

Q: Look up the DOS at the Fermi energy of the first one.
A: 9.47 states/eV/f.u.